1.
Na2Au: relaxed, PBE-GGA.

Structure (POSCAR):
```
Na2Au
1.0
2.7207 -2.7234 0.0000
2.7207 2.7234 0.0000
-2.7038 0.0000 4.8996
Na Au
2 1
Direct
0.1532 0.1532 0.3047
0.8468 0.8468 0.6953
0.5000 0.5000 0.0000
```

Properties
uncorrected energy: -2.19 eV per atom
SG: C2/m
energy of formation: -0.221 eV/atom
total magnetic moment: 0.00 μB per formula unit


2.
NaAu6: relaxed, PBE-GGA.

Structure (POSCAR):
```
NaAu6
1.0
6.5236 0.0000 0.0000
0.0000 6.5236 0.0000
0.0000 0.0000 6.5236
Na Au
1 6
Direct
0.0000 0.0000 0.0000
0.1973 0.5000 0.5000
0.5000 0.1973 0.5000
0.5000 0.5000 0.1973
0.5000 0.5000 0.8027
0.5000 0.8027 0.5000
0.8027 0.5000 0.5000
```

Properties
uncorrected energy: -2.59 eV per atom
E above lowest polymorph: 504 meV per atom
SG: Pm-3m
energy of formation: 0.409 eV/atom
total magnetic moment: 0.00 μB per formula unit